1.
# PBE Ac2ZnIr, relaxed
# Energy above the most stable polymorph in this dataset = 0 meV/atom
# VASP energy = -5.074 eV per atom
# Formation energy = -0.486 eV/atom
data_Ac2ZnIr
_cell_length_a 6.4163
_cell_length_b 4.3030
_cell_length_c 8.9042
_cell_angle_alpha 90.00
_cell_angle_beta 110.75
_cell_angle_gamma 90.00
_space_group_name_H-M_alt 'P 1 21/m 1'
_space_group_IT_number 11
_space_group_name_Hall '-P 2yb'
loop_
_atom_site_label
_atom_site_type_symbol
_atom_site_fract_x
_atom_site_fract_y
_atom_site_fract_z
_atom_site_occupancy
Ac1 Ac 0.1951 0.2500 0.4151 1
Ac2 Ac 0.2729 0.7500 0.0543 1
Zn1 Zn 0.3434 0.7500 0.7182 1
Ir1 Ir 0.1128 0.2500 0.7876 1

2.
# PBE Ac2Zn2Ir3, relaxed
# VASP energy = -5.710 eV per atom
# Formation energy = -0.374 eV/atom
data_Ac2Zn2Ir3
_cell_length_a 11.2344
_cell_length_b 4.3778
_cell_length_c 6.7722
_cell_angle_alpha 90.00
_cell_angle_beta 107.78
_cell_angle_gamma 90.00
_space_group_name_H-M_alt 'C 1 2/m 1'
_space_group_IT_number 12
_space_group_name_Hall '-C 2y'
loop_
_atom_site_label
_atom_site_type_symbol
_atom_site_fract_x
_atom_site_fract_y
_atom_site_fract_z
_atom_site_occupancy
Ac1 Ac 0.1179 0.0000 0.3017 1
Zn1 Zn 0.1896 0.0000 0.8438 1
Ir1 Ir 0.0000 0.5000 0.5000 1
Ir2 Ir 0.0825 0.5000 0.9115 1

3.
# PBE Ac3ZnIr2, relaxed
# VASP energy = -5.736 eV per atom
# Formation energy = -0.516 eV/atom
data_Ac3ZnIr2
_cell_length_a 7.0300
_cell_length_b 13.4988
_cell_length_c 7.7460
_cell_angle_alpha 90.00
_cell_angle_beta 90.00
_cell_angle_gamma 90.00
_space_group_name_H-M_alt 'I b a m'
_space_group_IT_number 72
_space_group_name_Hall '-I 2 2c'
loop_
_atom_site_label
_atom_site_type_symbol
_atom_site_fract_x
_atom_site_fract_y
_atom_site_fract_z
_atom_site_occupancy
Ac1 Ac 0.0000 0.0000 0.2500 1
Ac2 Ac 0.0000 0.2876 0.2500 1
Zn1 Zn 0.0000 0.5000 0.0000 1
Ir1 Ir 0.2221 0.1316 0.0000 1

4.
# PBE AcZn4Ir, relaxed
# Energy above the most stable polymorph in this dataset = 0 meV/atom
# VASP energy = -3.328 eV per atom
# Formation energy = -0.317 eV/atom
data_AcZn4Ir
_cell_length_a 7.9119
_cell_length_b 4.1665
_cell_length_c 7.3780
_cell_angle_alpha 90.00
_cell_angle_beta 90.00
_cell_angle_gamma 90.00
_space_group_name_H-M_alt 'P m m a'
_space_group_IT_number 51
_space_group_name_Hall '-P 2a 2a'
loop_
_atom_site_label
_atom_site_type_symbol
_atom_site_fract_x
_atom_site_fract_y
_atom_site_fract_z
_atom_site_occupancy
Ac1 Ac 0.2500 0.0000 0.1089 1
Zn1 Zn 0.0000 0.0000 0.5000 1
Zn2 Zn 0.0620 0.5000 0.7768 1
Zn3 Zn 0.2500 0.5000 0.4607 1
Ir1 Ir 0.2500 0.0000 0.7028 1

5.
# PBE Ac3Zn4Ir4, relaxed
# Energy above the most stable polymorph in this dataset = 0 meV/atom
# VASP energy = -5.285 eV per atom
# Formation energy = -0.479 eV/atom
data_Ac3Zn4Ir4
_cell_length_a 26.7953
_cell_length_b 4.3007
_cell_length_c 4.3165
_cell_angle_alpha 90.00
_cell_angle_beta 99.18
_cell_angle_gamma 90.00
_space_group_name_H-M_alt 'C 1 2/m 1'
_space_group_IT_number 12
_space_group_name_Hall '-C 2y'
loop_
_atom_site_label
_atom_site_type_symbol
_atom_site_fract_x
_atom_site_fract_y
_atom_site_fract_z
_atom_site_occupancy
Ac1 Ac 0.0000 0.0000 0.0000 1
Ac2 Ac 0.1488 0.0000 0.6484 1
Zn1 Zn 0.0980 0.5000 0.0976 1
Zn2 Zn 0.2499 0.0000 0.2497 1
Ir1 Ir 0.0477 0.5000 0.5476 1
Ir2 Ir 0.1939 0.5000 0.1945 1

6.
# PBE Ac3ZnIr, relaxed
# Energy above the most stable polymorph in this dataset = 34 meV/atom
# VASP energy = -4.866 eV per atom
# Formation energy = -0.374 eV/atom
data_Ac3ZnIr
_cell_length_a 9.8815
_cell_length_b 7.2937
_cell_length_c 10.6107
_cell_angle_alpha 90.00
_cell_angle_beta 113.55
_cell_angle_gamma 90.00
_space_group_name_H-M_alt 'P 1 21/c 1'
_space_group_IT_number 14
_space_group_name_Hall '-P 2ybc'
loop_
_atom_site_label
_atom_site_type_symbol
_atom_site_fract_x
_atom_site_fract_y
_atom_site_fract_z
_atom_site_occupancy
Ac1 Ac 0.1013 0.0692 0.3654 1
Ac2 Ac 0.2065 0.5857 0.5515 1
Ac3 Ac 0.3766 0.0757 0.7645 1
Zn1 Zn 0.4448 0.6618 0.9482 1
Ir1 Ir 0.0857 0.2453 0.6127 1

7.
# PBE AcZn9Ir3, relaxed
# VASP energy = -3.513 eV per atom
# Formation energy = -0.270 eV/atom
data_AcZn9Ir3
_cell_length_a 5.3991
_cell_length_b 12.5366
_cell_length_c 6.9278
_cell_angle_alpha 90.00
_cell_angle_beta 112.34
_cell_angle_gamma 90.00
_space_group_name_H-M_alt 'C 1 2/m 1'
_space_group_IT_number 12
_space_group_name_Hall '-C 2y'
loop_
_atom_site_label
_atom_site_type_symbol
_atom_site_fract_x
_atom_site_fract_y
_atom_site_fract_z
_atom_site_occupancy
Ac1 Ac 0.0000 0.0000 0.0000 1
Zn1 Zn 0.0000 0.5000 0.5000 1
Zn2 Zn 0.1153 0.3828 0.2344 1
Zn3 Zn 0.1546 0.1786 0.3450 1
Ir1 Ir 0.0000 0.0000 0.5000 1
Ir2 Ir 0.2500 0.2500 0.0000 1

8.
# PBE Ac3Zn6Ir5, relaxed
# VASP energy = -5.004 eV per atom
# Formation energy = -0.413 eV/atom
data_Ac3Zn6Ir5
_cell_length_a 4.2839
_cell_length_b 13.0564
_cell_length_c 9.9086
_cell_angle_alpha 90.00
_cell_angle_beta 90.00
_cell_angle_gamma 90.00
_space_group_name_H-M_alt 'P m m n'
_space_group_IT_number 59
loop_
_space_group_symop_operation_xyz
'x,y,z'
'-x,-y,-z'
'-x+1/2,-y+1/2,z'
'x+1/2,y+1/2,-z'
'x+1/2,-y,-z'
'-x+1/2,y,z'
'-x,y+1/2,-z'
'x,-y+1/2,z'
loop_
_atom_site_label
_atom_site_type_symbol
_atom_site_fract_x
_atom_site_fract_y
_atom_site_fract_z
_atom_site_occupancy
Ac1 Ac 0.2500 0.0632 0.2444 1
Ac2 Ac 0.2500 0.7500 0.2617 1
Zn1 Zn 0.2500 0.0655 0.5819 1
Zn2 Zn 0.2500 0.2500 0.0248 1
Zn3 Zn 0.2500 0.2500 0.4519 1
Zn4 Zn 0.2500 0.6027 0.9872 1
Ir1 Ir 0.2500 0.0906 0.8616 1
Ir2 Ir 0.2500 0.6417 0.5436 1
Ir3 Ir 0.2500 0.7500 0.7947 1